Record 1
This record from Alexandria describes a relaxed PaCCl crystal. The functional is PBE.

Its size of the total moment is 0.000 μB/f.u. The value obtained for the electronic total energy is -7.284 eV per atom.

The space group is I4mm (No. 107) and the conventional cell measures 3.401, 3.401 and 11.939 Å, with angles of 90.00, 90.00 and 90.00 degrees. The inequivalent atoms are Pa at (0.000, 0.000, 0.000), C at (0.000, 0.000, 0.491) and Cl at (0.000, 0.000, 0.213).

Record 2
This record from Alexandria describes a relaxed Ba8As3I3Br crystal. The functional is PBE.

Its size of the total moment is 0.000 μB/f.u. The value obtained for the electronic total energy is -3.754 eV per atom.

The space group is R-3m (No. 166, hexagonal axes) and the conventional cell measures 9.7568, 9.7568 and 24.1996 Å, with angles of 90.00, 90.00 and 120.00 degrees. The inequivalent atoms are Ba at (0.0000, 0.0000, 0.2374), Ba at (0.0280, 0.5140, 0.7583), As at (0.0000, 0.5000, 0.5000), I at (0.0000, 0.5000, 0.0000) and Br at (0.0000, 0.0000, 0.5000).

Record 3
This record from Alexandria describes a relaxed PmEuNiGe crystal. The functional is PBE.

Its size of the total moment is 6.546 μB/f.u. The formation enthalpy at 0 K comes out at -0.37 eV per atom. The value obtained for the electronic total energy is -6.727 eV per atom.

The space group is F-43m (No. 216) and the conventional cell measures 7.193, 7.193 and 7.193 Å, with angles of 90.00, 90.00 and 90.00 degrees. The inequivalent atoms are Pm at (0.000, 0.000, 0.000), Eu at (0.000, 0.000, 0.500), Ni at (0.250, 0.250, 0.250) and Ge at (0.250, 0.250, 0.750).

Record 4
This record from Alexandria describes a relaxed Ca5Pt7 crystal. The functional is PBE.

Its size of the total moment is 0.000 μB/f.u. The formation enthalpy at 0 K comes out at -0.62 eV per atom. The value obtained for the electronic total energy is -4.974 eV per atom.

The space group is C222 (No. 21) and the conventional cell measures 5.860, 8.706 and 9.098 Å, with angles of 90.00, 90.00 and 90.00 degrees. The inequivalent atoms are Ca at (0.000, 0.000, 0.000), Ca at (0.000, 0.500, 0.334), Ca at (0.250, 0.250, 0.835), Pt at (0.000, 0.000, 0.347), Pt at (0.000, 0.500, 0.000), Pt at (0.250, 0.250, 0.182) and Pt at (0.250, 0.250, 0.496).

Record 5
This record from Alexandria describes a relaxed AgHg8 crystal. The functional is PBE.

Its size of the total moment is 0.000 μB/f.u. The formation enthalpy at 0 K comes out at 0.07 eV per atom. The value obtained for the electronic total energy is -0.518 eV per atom.

The space group is I4/mmm (No. 139) and the conventional cell measures 12.097, 12.097 and 3.183 Å, with angles of 90.00, 90.00 and 90.00 degrees. The inequivalent atoms are Ag at (0.000, 0.000, 0.000), Hg at (0.000, 0.332, 0.000) and Hg at (0.157, 0.157, 0.500).

Record 6
This record from Alexandria describes a relaxed Sc2TiGeH crystal. The functional is PBE.

Its size of the total moment is 0.000 μB/f.u. The value obtained for the electronic total energy is -6.161 eV per atom.

The space group is P4/mmm (No. 123) and the conventional cell measures 4.302, 4.302 and 4.116 Å, with angles of 90.00, 90.00 and 90.00 degrees. The inequivalent atoms are Sc at (0.000, 0.500, 0.000), Ti at (0.000, 0.000, 0.500), Ge at (0.500, 0.500, 0.500) and H at (0.000, 0.000, 0.000).

Record 7
This record from Alexandria describes a relaxed SrMgZn2Rh crystal. The functional is PBE.

Its size of the total moment is 0.000 μB/f.u. The formation enthalpy at 0 K comes out at -0.28 eV per atom. The value obtained for the electronic total energy is -2.915 eV per atom.

The space group is P4/mmm (No. 123) and the conventional cell measures 4.921, 4.921 and 4.887 Å, with angles of 90.00, 90.00 and 90.00 degrees. The inequivalent atoms are Sr at (0.000, 0.000, 0.000), Mg at (0.500, 0.500, 0.000), Zn at (0.000, 0.500, 0.500) and Rh at (0.500, 0.500, 0.500).

Record 8
This record from Alexandria describes a relaxed LiSm3Tm3S8 crystal. The functional is PBE.

Its size of the total moment is 0.000 μB/f.u. The value obtained for the electronic total energy is -6.152 eV per atom.

The space group is R-3m (No. 166, hexagonal axes) and the conventional cell measures 7.7770, 7.7770 and 19.2493 Å, with angles of 90.00, 90.00 and 120.00 degrees. The inequivalent atoms are Li at (0.0000, 0.0000, 0.0000), Sm at (0.0000, 0.5000, 0.5000), Tm at (0.0000, 0.5000, 0.0000), S at (0.0000, 0.0000, 0.2543) and S at (0.0008, 0.5004, 0.7453).

Record 9
This record from Alexandria describes a relaxed La2Pm8Nd3 crystal. The functional is PBE.

Its size of the total moment is 0.000 μB/f.u. The formation enthalpy at 0 K comes out at 0.15 eV per atom. The value obtained for the electronic total energy is -4.633 eV per atom.

The space group is C2/m (No. 12) and the conventional cell measures 13.362, 11.954 and 6.267 Å, with angles of 90.00, 113.30 and 90.00 degrees. The inequivalent atoms are La at (0.207, 0.000, 0.351), Pm at (0.060, 0.000, 0.781), Pm at (0.155, 0.500, 0.047), Pm at (0.173, 0.245, 0.678), Nd at (0.000, 0.259, 0.000) and Nd at (0.000, 0.500, 0.500).

Record 10
This record from Alexandria describes a relaxed ZrIr2Se crystal. The functional is PBE.

Its size of the total moment is 0.000 μB/f.u. The value obtained for the electronic total energy is -7.675 eV per atom.

The space group is Cm (No. 8) and the conventional cell measures 9.828, 3.136 and 4.520 Å, with angles of 90.00, 94.04 and 90.00 degrees. The inequivalent atoms are Zr at (0.000, 0.000, 0.000), Ir at (0.053, 0.500, 0.539), Ir at (0.283, 0.000, 0.699) and Se at (0.256, 0.500, 0.223).

Record 11
This record from Alexandria describes a relaxed PrMg2AlPd2 crystal. The functional is PBE.

Its size of the total moment is 0.002 μB/f.u. The formation enthalpy at 0 K comes out at -0.43 eV per atom. The value obtained for the electronic total energy is -4.112 eV per atom.

The space group is P4/mmm (No. 123) and the conventional cell measures 4.711, 4.711 and 6.088 Å, with angles of 90.00, 90.00 and 90.00 degrees. The inequivalent atoms are Pr at (0.000, 0.000, 0.000), Mg at (0.500, 0.500, 0.253), Al at (0.000, 0.000, 0.500) and Pd at (0.000, 0.500, 0.500).

Record 12
This record from Alexandria describes a relaxed Pm3TePBr crystal. The functional is PBE.

Its size of the total moment is 0.781 μB/f.u. The value obtained for the electronic total energy is -5.415 eV per atom.

The space group is P2_1/m (No. 11) and the conventional cell measures 8.848, 4.163 and 10.364 Å, with angles of 90.00, 92.23 and 90.00 degrees. The inequivalent atoms are Pm at (0.101, 0.250, 0.362), Pm at (0.140, 0.250, 0.907), Pm at (0.351, 0.750, 0.630), Te at (0.372, 0.750, 0.327), P at (0.127, 0.250, 0.637) and Br at (0.372, 0.750, 0.918).

Record 13
This record from Alexandria describes a relaxed Ca2YAu crystal. The functional is PBE.

Its size of the total moment is 0.000 μB/f.u. The formation enthalpy at 0 K comes out at -0.08 eV per atom. The value obtained for the electronic total energy is -3.512 eV per atom.

The space group is C2/m (No. 12) and the conventional cell measures 6.599, 11.070 and 3.554 Å, with angles of 90.00, 114.95 and 90.00 degrees. The inequivalent atoms are Ca at (0.250, 0.250, 0.000), Y at (0.000, 0.000, 0.500) and Au at (0.000, 0.500, 0.500).

Record 14
This record from Alexandria describes a relaxed NaTi2Te4 crystal. The functional is PBE.

Its size of the total moment is 0.497 μB/f.u. The value obtained for the electronic total energy is -5.001 eV per atom.

The space group is P2/m (No. 10) and the conventional cell measures 6.627, 3.864 and 8.370 Å, with angles of 90.00, 105.66 and 90.00 degrees. The inequivalent atoms are Na at (0.000, 0.000, 0.000), Ti at (0.000, 0.500, 0.500), Ti at (0.500, 0.000, 0.500), Te at (0.239, 0.000, 0.711) and Te at (0.264, 0.500, 0.289).

Record 15
This record from Alexandria describes a relaxed CdTc2Ag crystal. The functional is PBE.

Its size of the total moment is 0.000 μB/f.u. The formation enthalpy at 0 K comes out at 0.87 eV per atom. The value obtained for the electronic total energy is -5.254 eV per atom.

The space group is P4/mmm (No. 123) and the conventional cell measures 4.535, 4.535 and 3.207 Å, with angles of 90.00, 90.00 and 90.00 degrees. The inequivalent atoms are Cd at (0.000, 0.000, 0.000), Tc at (0.000, 0.500, 0.500) and Ag at (0.500, 0.500, 0.000).

Record 16
This record from Alexandria describes a relaxed In12Bi3H5 crystal. The functional is PBE.

Its size of the total moment is 0.002 μB/f.u. The value obtained for the electronic total energy is -2.818 eV per atom.

The space group is Ia-3d (No. 230) and the conventional cell measures 15.718, 15.718 and 15.718 Å, with angles of 90.00, 90.00 and 90.00 degrees. The inequivalent atoms are In at (0.047, 0.048, 0.642), Bi at (0.000, 0.250, 0.125), H at (0.000, 0.000, 0.000) and H at (0.000, 0.250, 0.375).

Record 17
This record from Alexandria describes a relaxed CdHgSe2 crystal. The functional is PBE.

Its size of the total moment is 0.000 μB/f.u. The value obtained for the electronic total energy is -2.355 eV per atom.

The space group is P3m1 (No. 156) and the conventional cell measures 4.3733, 4.3733 and 6.9300 Å, with angles of 90.00, 90.00 and 120.00 degrees. The inequivalent atoms are Cd at (0.0000, 0.0000, 0.0000), Hg at (0.6667, 0.3333, 0.5148), Se at (0.0000, 0.0000, 0.3967) and Se at (0.3333, 0.6667, 0.8662).

Record 18
This record from Alexandria describes a relaxed HoThGaCo crystal. The functional is PBE.

Its size of the total moment is 0.656 μB/f.u. The formation enthalpy at 0 K comes out at -0.24 eV per atom. The value obtained for the electronic total energy is -5.775 eV per atom.

The space group is F-43m (No. 216) and the conventional cell measures 7.078, 7.078 and 7.078 Å, with angles of 90.00, 90.00 and 90.00 degrees. The inequivalent atoms are Ho at (0.000, 0.000, 0.000), Th at (0.000, 0.000, 0.500), Ga at (0.250, 0.250, 0.750) and Co at (0.250, 0.250, 0.250).

Record 19
This record from Alexandria describes a relaxed P3Pb crystal. The functional is PBE.

Its size of the total moment is 0.000 μB/f.u. The formation enthalpy at 0 K comes out at 0.34 eV per atom. The value obtained for the electronic total energy is -4.643 eV per atom.

The space group is Pmm2 (No. 25) and the conventional cell measures 4.099, 4.627 and 4.620 Å, with angles of 90.00, 90.00 and 90.00 degrees. The inequivalent atoms are P at (0.000, 0.000, 0.000), P at (0.000, 0.500, 0.169), P at (0.500, 0.000, 0.230) and Pb at (0.500, 0.500, 0.602).

Record 20
This record from Alexandria describes a relaxed Y3HoZn crystal. The functional is PBE.

Its size of the total moment is 0.000 μB/f.u. The formation enthalpy at 0 K comes out at 0.04 eV per atom. The value obtained for the electronic total energy is -5.007 eV per atom.

The space group is C2/m (No. 12) and the conventional cell measures 11.575, 8.578 and 7.753 Å, with angles of 90.00, 126.64 and 90.00 degrees. The inequivalent atoms are Y at (0.046, 0.000, 0.310), Y at (0.196, 0.301, 0.724), Ho at (0.080, 0.500, 0.273) and Zn at (0.230, 0.500, 0.075).

Record 21
This record from Alexandria describes a relaxed CsBI2Br crystal. The functional is PBE.

Its size of the total moment is 0.902 μB/f.u. The value obtained for the electronic total energy is -1.767 eV per atom.

The space group is P4/mmm (No. 123) and the conventional cell measures 6.084, 6.084 and 6.818 Å, with angles of 90.00, 90.00 and 90.00 degrees. The inequivalent atoms are Cs at (0.000, 0.000, 0.000), B at (0.500, 0.500, 0.000), I at (0.000, 0.500, 0.500) and Br at (0.000, 0.000, 0.500).